1.
Here is crystalline NaP2Rh at its relaxed geometry from Alexandria via LeMat-Bulk. Energies are from GGA-PBE.

CIF file:
```
data_NaP2Rh
_chemical_formula_sum 'Na4 P8 Rh4'
_cell_length_a 6.183
_cell_length_b 6.183
_cell_length_c 6.183
_cell_angle_alpha 90.00
_cell_angle_beta 90.00
_cell_angle_gamma 90.00
_space_group_name_H-M_alt 'F m -3 m'
_space_group_IT_number 225
_space_group_name_Hall '-F 4 2 3'
loop_
_atom_site_label
_atom_site_type_symbol
_atom_site_fract_x
_atom_site_fract_y
_atom_site_fract_z
Na1 Na 0.000 0.000 0.000
P1 P 0.250 0.250 0.250
Rh1 Rh 0.000 0.000 0.500
```

2.
Here is crystalline NaPRh3 at its relaxed geometry from Alexandria via LeMat-Bulk. Energies are from GGA-PBE.

CIF file:
```
data_NaPRh3
_chemical_formula_sum 'Na1 P1 Rh3'
_cell_length_a 4.423
_cell_length_b 4.423
_cell_length_c 4.423
_cell_angle_alpha 90.00
_cell_angle_beta 90.00
_cell_angle_gamma 90.00
_space_group_name_H-M_alt 'P m -3 m'
_space_group_IT_number 221
_space_group_name_Hall '-P 4 2 3'
loop_
_atom_site_label
_atom_site_type_symbol
_atom_site_fract_x
_atom_site_fract_y
_atom_site_fract_z
Na1 Na 0.000 0.000 0.000
P1 P 0.500 0.500 0.500
Rh1 Rh 0.000 0.500 0.500
```

3.
Here is crystalline NaP2RuRh at its relaxed geometry from Alexandria via LeMat-Bulk. Energies are from GGA-PBE.

CIF file:
```
data_NaP2RuRh
_chemical_formula_sum 'Na2 P4 Ru2 Rh2'
_cell_length_a 4.015
_cell_length_b 4.015
_cell_length_c 10.023
_cell_angle_alpha 90.00
_cell_angle_beta 90.00
_cell_angle_gamma 90.00
_space_group_name_H-M_alt 'I -4 m 2'
_space_group_IT_number 119
_space_group_name_Hall 'I -4 -2'
loop_
_atom_site_label
_atom_site_type_symbol
_atom_site_fract_x
_atom_site_fract_y
_atom_site_fract_z
Na1 Na 0.000 0.000 0.000
P1 P 0.000 0.000 0.370
Ru1 Ru 0.000 0.500 0.750
Rh1 Rh 0.000 0.500 0.250
```

Computed N(E_F), in the same sequence as the records: 0.15; 1.04; 0.24 states/eV per atom.
Computed total energy, in the same sequence as the records: -78.8; -29.4; -64.2 eV per cell.